# 1
# SrAc2ZnO5

A relaxed structure of SrAc2ZnO5 (PBE, the Alexandria database).

## Properties
Magnetization, μB per formula unit: 0.00
Raw formation energy, eV/atom: -2.7058
Space group: No. 140
DOS(E_F), states/eV/atom: 0.000

Cell: 7.1182 7.1182 7.6813 Å, 117.60 117.60 90.00°
With the nearest neighbours (Å) after each atom.
Fractional positions:
1 Sr 0.2500 0.2500 0.5000  10 O 2.90-3.01
2 Sr 0.7500 0.7500 0.5000  10 O 2.90-3.01
3 Ac 0.1732 0.3268 0.0000  4 O 2.41-2.63
4 Ac 0.6732 0.1732 0.0000  4 O 2.41-2.63
5 Ac 0.3268 0.8268 0.0000  4 O 2.41-2.63
6 Ac 0.8268 0.6732 0.0000  4 O 2.41-2.63
7 Zn 0.2500 0.7500 0.5000  4 O 1.98
8 Zn 0.7500 0.2500 0.5000  4 O 1.98
9 O 0.9901 0.4901 0.2756  1 Zn 1.98
10 O 0.7145 0.2145 0.7244  1 Zn 1.98
11 O 0.0099 0.5099 0.7244  1 Zn 1.98
12 O 0.2145 0.0099 0.7244  1 Zn 1.98
13 O 0.5099 0.7145 0.7244  1 Zn 1.98
14 O 0.7855 0.9901 0.2756  1 Zn 1.98
15 O 0.4901 0.2855 0.2756  1 Zn 1.98
16 O 0.2855 0.7855 0.2756  1 Zn 1.98
17 O 0.5000 0.5000 0.0000  4 Ac 2.63, 2 Sr 2.90
18 O 0.0000 0.0000 0.0000  4 Ac 2.63, 2 Sr 2.90

# 2
# Sr3Ac3ZnO8

A relaxed structure of Sr3Ac3ZnO8 (PBE, the Alexandria database).

## Properties
Magnetization, μB per formula unit: 0.00
Raw formation energy, eV/atom: -2.5550
Space group: No. 166
DOS(E_F), states/eV/atom: 0.195

Cell: 7.2696 7.2691 7.3697 Å, 119.55 90.00 120.00°
With the nearest neighbours (Å) after each atom.
Fractional positions:
1 Sr 0.0000 0.0000 0.0000  6 O 2.55-2.64
2 Sr 0.0000 0.5000 0.0000  6 O 2.55-2.64
3 Sr 0.5000 0.5000 0.0000  6 O 2.55-2.64
4 Ac 0.5000 0.0000 0.5000  6 O 2.56-2.63
5 Ac 0.5000 0.5000 0.5000  6 O 2.56-2.63
6 Ac 0.0000 0.5000 0.5000  6 O 2.56-2.63
7 Zn 0.0000 0.0000 0.5000  6 O 2.31-2.32
8 O 0.2464 0.4927 0.2390  3 Sr 2.55, 3 Ac 2.63
9 O 0.7536 0.5073 0.7610  3 Sr 2.55, 3 Ac 2.63
10 O 0.7767 0.5534 0.2834  1 Zn 2.31, 2 Ac 2.56
11 O 0.2233 0.4466 0.7166  1 Zn 2.31, 2 Ac 2.56
12 O 0.7763 0.0068 0.2831  1 Zn 2.32, 2 Ac 2.56
13 O 0.2237 0.9932 0.7169  1 Zn 2.32, 2 Ac 2.56
14 O 0.2304 0.0068 0.2831  1 Zn 2.32, 2 Ac 2.56
15 O 0.7696 0.9932 0.7169  1 Zn 2.32, 2 Ac 2.56

# 3
# Ac2Ta2O7

A relaxed structure of Ac2Ta2O7 (PBE, the Alexandria database).

## Properties
Magnetization, μB per formula unit: 2.01
Raw formation energy, eV/atom: -2.9331
Space group: No. 227
DOS(E_F), states/eV/atom: 0.691

Cell: 7.7240 7.7240 7.7240 Å, 60.00 60.00 60.00°
With the nearest neighbours (Å) after each atom.
Fractional positions:
1 Ac 0.6250 0.6250 0.6250  2 O 2.36
2 Ac 0.6250 0.6250 0.1250  2 O 2.36
3 Ac 0.6250 0.1250 0.6250  2 O 2.36
4 Ac 0.1250 0.6250 0.6250  2 O 2.36
5 Ta 0.6250 0.1250 0.1250  6 O 2.09
6 Ta 0.1250 0.6250 0.1250  6 O 2.09
7 Ta 0.1250 0.1250 0.6250  6 O 2.09
8 Ta 0.1250 0.1250 0.1250  6 O 2.09
9 O 0.1978 0.1978 0.8022  2 Ta 2.09
10 O 0.1978 0.8022 0.1978  2 Ta 2.09
11 O 0.4478 0.0522 0.4478  2 Ta 2.09
12 O 0.4478 0.4478 0.0522  2 Ta 2.09
13 O 0.7500 0.7500 0.7500  4 Ac 2.36
14 O 0.8022 0.1978 0.1978  2 Ta 2.09
15 O 0.4478 0.0522 0.0522  2 Ta 2.09
16 O 0.0522 0.4478 0.4478  2 Ta 2.09
17 O 0.0522 0.0522 0.4478  2 Ta 2.09
18 O 0.0522 0.4478 0.0522  2 Ta 2.09
19 O 0.1978 0.8022 0.8022  2 Ta 2.09
20 O 0.5000 0.5000 0.5000  4 Ac 2.36
21 O 0.8022 0.1978 0.8022  2 Ta 2.09
22 O 0.8022 0.8022 0.1978  2 Ta 2.09

# 4
# AcTaO6

A relaxed structure of AcTaO6 (PBE, the Alexandria database).

## Properties
Magnetization, μB per formula unit: 4.00
Raw formation energy, eV/atom: -1.7425
Space group: No. 225
DOS(E_F), states/eV/atom: 1.514

Cell: 6.3402 6.3402 6.3402 Å, 60.00 60.00 60.00°
With the nearest neighbours (Å) after each atom.
Fractional positions:
1 Ac 0.5000 0.5000 0.5000  6 O 2.50
2 Ta 0.0000 0.0000 0.0000  6 O 1.98
3 O 0.7793 0.7793 0.2207  1 Ta 1.98
4 O 0.7793 0.2207 0.2207  1 Ta 1.98
5 O 0.2207 0.7793 0.7793  1 Ta 1.98
6 O 0.2207 0.2207 0.7793  1 Ta 1.98
7 O 0.2207 0.7793 0.2207  1 Ta 1.98
8 O 0.7793 0.2207 0.7793  1 Ta 1.98